No. 1
Computed, not measured: a geometry-optimized PtWAu3 structure at the PBE level of DFT.

Cell lengths 4.987, 4.987, 4.987 Å; angles 90.00, 90.00, 90.00 degrees
Fractional coordinates of all 5 atoms:
Au  0.000  0.000  0.500
W  0.000  0.000  0.000
Au  0.000  0.500  0.000
Au  0.500  0.000  0.000
Pt  0.500  0.500  0.500

Summary:
Raw total energy in eV/atom: -4.113
Distance to the lowest polymorph of the same formula in meV/atom: 0
Magnetization in μB per atom: 0.00
DOS at the Fermi energy in states/eV per cell: 6.76
DFT formation energy in eV/atom: 1.6521

---

No. 2
Computed, not measured: a geometry-optimized La2NbCdRe structure at the PBE level of DFT.

Cell lengths 5.347, 5.205, 5.347 Å; angles 90.00, 90.00, 90.00 degrees
Fractional coordinates of all 5 atoms:
La  0.000  0.000  0.500
Cd  0.000  0.500  0.000
La  0.500  0.000  0.000
Nb  0.000  0.000  0.000
Re  0.500  0.500  0.500

Summary:
Raw total energy in eV/atom: -5.109
Magnetization in μB per atom: 0.00
DOS at the Fermi energy in states/eV per cell: 9.02
DFT formation energy in eV/atom: 1.5481

---

No. 3
Computed, not measured: a geometry-optimized GaMoSe2 structure at the PBE level of DFT.

Cell lengths 4.609, 4.609, 4.609 Å; angles 60.00, 60.00, 60.00 degrees
Fractional coordinates of all 4 atoms:
Se  0.750  0.750  0.750
Mo  0.500  0.500  0.500
Se  0.250  0.250  0.250
Ga  0.000  0.000  0.000

Summary:
Raw total energy in eV/atom: -5.077
Distance to the lowest polymorph of the same formula in meV/atom: 379
Magnetization in μB per atom: 0.00
DOS at the Fermi energy in states/eV per cell: 1.45

---

No. 4
Computed, not measured: a geometry-optimized Ce2Si4Os5 structure at the PBE level of DFT.

Cell lengths 5.883, 5.855, 7.085 Å; angles 77.96, 65.47, 59.84 degrees
Each line ends with the local moment (μB).
Fractional coordinates of all 11 atoms:
Os  0.750  0.500  0.500  0.01
Os  0.250  0.500  0.500  0.01
Si  0.513  0.704  0.271  0.00
Os  0.500  0.000  0.000  -0.01
Os  0.000  0.500  0.000  -0.05
Os  0.500  0.500  0.000  -0.05
Si  0.487  0.296  0.729  0.00
Ce  0.877  0.000  0.245  0.56
Si  0.216  0.296  0.271  0.00
Si  0.784  0.704  0.729  0.00
Ce  0.123  0.000  0.755  0.56

Summary:
Raw total energy in eV/atom: -8.669
Magnetization in μB per atom: 0.12
DOS at the Fermi energy in states/eV per cell: 8.61

---

No. 5
Computed, not measured: a geometry-optimized TlZnIBr2 structure at the PBE level of DFT.

Cell lengths 5.249, 5.249, 5.736 Å; angles 90.00, 90.00, 90.00 degrees
Fractional coordinates of all 5 atoms:
Zn  0.000  0.000  0.000
Br  0.000  0.500  0.000
I  0.000  0.000  0.500
Tl  0.500  0.500  0.500
Br  0.500  0.000  0.000

Summary:
Raw total energy in eV/atom: -2.347
Magnetization in μB per atom: 0.00
DOS at the Fermi energy in states/eV per cell: 1.51

---

No. 6
Computed, not measured: a geometry-optimized PuPaHgC structure at the PBE level of DFT.

Cell lengths 3.452, 3.453, 8.532 Å; angles 90.00, 101.67, 120.01 degrees
Each line ends with the local moment (μB).
Fractional coordinates of all 4 atoms:
Hg  0.967  0.382  0.364  0.01
Pa  0.083  0.940  0.039  -0.05
C  0.305  0.551  0.871  -0.08
Pu  0.522  0.159  0.696  5.13

Summary:
Raw total energy in eV/atom: -8.508
Magnetization in μB per atom: 1.32
DOS at the Fermi energy in states/eV per cell: 7.08
DFT formation energy in eV/atom: -0.1696

---

No. 7
Computed, not measured: a geometry-optimized BaAcPr2Se4 structure at the PBE level of DFT.

Cell lengths 4.376, 7.688, 7.631 Å; angles 71.02, 90.00, 90.00 degrees
Fractional coordinates of all 8 atoms:
Pr  0.500  0.000  0.500
Ba  0.000  0.500  0.500
Se  0.000  0.235  0.250
Pr  0.000  0.000  0.000
Se  0.500  0.231  0.762
Se  0.000  0.765  0.750
Ac  0.500  0.500  0.000
Se  0.500  0.769  0.238

Summary:
Raw total energy in eV/atom: -5.569
Magnetization in μB per atom: 0.00
DOS at the Fermi energy in states/eV per cell: 3.40

---

No. 8
Computed, not measured: a geometry-optimized Na3Ag2F6 structure at the PBE level of DFT.

Cell lengths 5.849, 5.911, 5.728 Å; angles 81.98, 73.63, 60.34 degrees
Each line ends with the local moment (μB).
Fractional coordinates of all 11 atoms:
Ag  0.163  0.675  0.500  0.31
F  0.250  0.000  0.227  0.04
Na  0.345  0.310  0.000  0.00
F  0.389  0.644  0.765  0.07
F  0.611  0.356  0.235  0.07
F  0.034  0.356  0.765  0.07
F  0.966  0.644  0.235  0.07
Na  0.655  0.690  0.000  0.00
Ag  0.837  0.325  0.500  0.31
F  0.750  0.000  0.773  0.04
Na  0.000  0.000  0.000  0.00

Summary:
Raw total energy in eV/atom: -3.855
Distance to the lowest polymorph of the same formula in meV/atom: 0
Magnetization in μB per atom: 0.09
DOS at the Fermi energy in states/eV per cell: 5.20

---

No. 9
Computed, not measured: a geometry-optimized Ac12CeIn6 structure at the PBE level of DFT.

Cell lengths 8.944, 8.944, 8.944 Å; angles 88.19, 88.19, 88.19 degrees
Each line ends with the local moment (μB).
Fractional coordinates of all 19 atoms:
Ac  0.021  0.153  0.370  0.01
Ac  0.808  0.534  0.438  0.00
In  0.270  0.111  0.744  0.00
In  0.730  0.889  0.256  0.00
Ac  0.192  0.466  0.562  0.00
Ac  0.370  0.021  0.153  0.01
In  0.111  0.744  0.270  0.00
In  0.256  0.730  0.889  0.00
Ac  0.630  0.979  0.847  0.01
In  0.744  0.270  0.111  0.00
Ce  0.000  0.000  0.000  0.75
Ac  0.562  0.192  0.466  0.00
Ac  0.979  0.847  0.630  0.01
Ac  0.534  0.438  0.808  0.00
In  0.889  0.256  0.730  0.00
Ac  0.438  0.808  0.534  0.00
Ac  0.847  0.630  0.979  0.01
Ac  0.153  0.370  0.021  0.01
Ac  0.466  0.562  0.192  0.00

Summary:
Raw total energy in eV/atom: -3.924
Magnetization in μB per atom: 0.05
DOS at the Fermi energy in states/eV per cell: 25.84
DFT formation energy in eV/atom: -0.1524

---

No. 10
Computed, not measured: a geometry-optimized Ca2PmScSe4 structure at the PBE level of DFT.

Cell lengths 4.093, 7.086, 7.218 Å; angles 109.12, 90.00, 90.00 degrees
Fractional coordinates of all 8 atoms:
Se  0.000  0.761  0.248
Ca  0.000  0.500  0.500
Ca  0.500  0.000  0.500
Pm  0.500  0.500  0.000
Se  0.500  0.765  0.761
Se  0.500  0.235  0.239
Sc  0.000  0.000  0.000
Se  0.000  0.239  0.752

Summary:
Raw total energy in eV/atom: -5.453
Magnetization in μB per atom: 0.00
DOS at the Fermi energy in states/eV per cell: 3.71

---

No. 11
Computed, not measured: a geometry-optimized LiCaAl3 structure at the PBE level of DFT.

Cell lengths 6.954, 6.954, 5.434 Å; angles 90.00, 90.00, 120.00 degrees
Fractional coordinates of all 10 atoms:
Al  0.212  0.802  0.750
Li  0.000  0.000  0.250
Ca  0.667  0.333  0.750
Al  0.802  0.590  0.250
Li  0.000  0.000  0.750
Al  0.198  0.410  0.750
Al  0.410  0.212  0.250
Al  0.788  0.198  0.250
Al  0.590  0.788  0.750
Ca  0.333  0.667  0.250

Summary:
Raw total energy in eV/atom: -2.833
Distance to the lowest polymorph of the same formula in meV/atom: 345
Magnetization in μB per atom: 0.00
DOS at the Fermi energy in states/eV per cell: 6.55
DFT formation energy in eV/atom: 0.1961

---

No. 12
Computed, not measured: a geometry-optimized KRb6HgF structure at the PBE level of DFT.

Cell lengths 9.213, 9.213, 8.109 Å; angles 90.10, 89.90, 59.65 degrees
Fractional coordinates of all 9 atoms:
Rb  0.364  0.052  0.717
Rb  0.585  0.364  0.716
K  0.001  0.001  0.000
Hg  0.666  0.666  0.500
Rb  0.588  0.048  0.283
Rb  0.048  0.588  0.717
Rb  0.052  0.364  0.283
F  0.333  0.333  0.500
Rb  0.363  0.585  0.284

Summary:
Raw total energy in eV/atom: -1.541
Magnetization in μB per atom: 0.00
DOS at the Fermi energy in states/eV per cell: 6.52

---

No. 13
Computed, not measured: a geometry-optimized KRu2Br structure at the PBE level of DFT.

Cell lengths 3.131, 3.131, 8.425 Å; angles 90.00, 90.00, 90.00 degrees
Each line ends with the local moment (μB).
Fractional coordinates of all 4 atoms:
Ru  0.000  0.000  0.424  0.81
K  0.500  0.500  0.750  0.02
Ru  0.000  0.000  0.076  0.81
Br  0.500  0.500  0.250  0.01

Summary:
Raw total energy in eV/atom: -4.072
Distance to the lowest polymorph of the same formula in meV/atom: 944
Magnetization in μB per atom: 0.48
DOS at the Fermi energy in states/eV per cell: 4.67

---

No. 14
Computed, not measured: a geometry-optimized LaDyGeRh structure at the PBE level of DFT.

Cell lengths 5.089, 5.089, 5.089 Å; angles 60.00, 60.00, 60.00 degrees
Fractional coordinates of all 4 atoms:
Ge  0.250  0.250  0.250
Dy  0.000  0.000  0.000
La  0.500  0.500  0.500
Rh  0.750  0.750  0.750

Summary:
Raw total energy in eV/atom: -6.032
Distance to the lowest polymorph of the same formula in meV/atom: 0
Magnetization in μB per atom: 0.00
DOS at the Fermi energy in states/eV per cell: 2.92
DFT formation energy in eV/atom: -0.6574

---

No. 15
Computed, not measured: a geometry-optimized LiCaMg14 structure at the PBE level of DFT.

Cell lengths 6.489, 6.489, 10.547 Å; angles 90.00, 90.00, 121.01 degrees
Fractional coordinates of all 16 atoms:
Mg  0.171  0.829  0.739
Mg  0.832  0.168  0.000
Mg  0.330  0.163  0.000
Mg  0.330  0.670  0.000
Mg  0.666  0.334  0.242
Mg  0.837  0.670  0.000
Mg  0.666  0.334  0.758
Mg  0.667  0.828  0.245
Mg  0.172  0.333  0.245
Li  0.335  0.665  0.500
Mg  0.667  0.828  0.755
Mg  0.171  0.829  0.261
Mg  0.172  0.333  0.755
Mg  0.332  0.177  0.500
Ca  0.828  0.172  0.500
Mg  0.823  0.668  0.500

Summary:
Raw total energy in eV/atom: -1.642
Distance to the lowest polymorph of the same formula in meV/atom: 5
Magnetization in μB per atom: 0.00
DOS at the Fermi energy in states/eV per cell: 5.40
DFT formation energy in eV/atom: -0.0018

---

No. 16
Computed, not measured: a geometry-optimized SiSIO2 structure at the PBE level of DFT.

Cell lengths 3.790, 3.790, 6.944 Å; angles 90.00, 90.00, 90.00 degrees
Each line ends with the local moment (μB).
Fractional coordinates of all 5 atoms:
O  0.000  0.500  0.000  0.03
I  0.000  0.000  0.500  0.00
S  0.000  0.000  0.000  0.01
O  0.500  0.000  0.000  0.03
Si  0.500  0.500  0.500  0.18

Summary:
Raw total energy in eV/atom: -3.651
Magnetization in μB per atom: 0.13
DOS at the Fermi energy in states/eV per cell: 2.63

---

No. 17
Computed, not measured: a geometry-optimized TaCuTeOs2 structure at the PBE level of DFT.

Cell lengths 4.547, 4.579, 4.547 Å; angles 90.00, 90.00, 90.00 degrees
Fractional coordinates of all 5 atoms:
Te  0.000  0.500  0.000
Os  0.000  0.000  0.500
Os  0.500  0.000  0.000
Cu  0.000  0.000  0.000
Ta  0.500  0.500  0.500

Summary:
Raw total energy in eV/atom: -6.543
Magnetization in μB per atom: 0.00
DOS at the Fermi energy in states/eV per cell: 5.36

---

No. 18
Computed, not measured: a geometry-optimized Pm4CdIn2Pd structure at the PBE level of DFT.

Cell lengths 5.374, 5.374, 9.251 Å; angles 73.11, 73.11, 60.00 degrees
Fractional coordinates of all 8 atoms:
In  0.257  0.257  0.230
In  0.743  0.743  0.770
Pm  0.617  0.617  0.148
Pm  0.383  0.383  0.852
Pm  0.869  0.869  0.393
Pd  0.500  0.500  0.500
Cd  0.000  0.000  0.000
Pm  0.131  0.131  0.607

Summary:
Raw total energy in eV/atom: -4.316
Magnetization in μB per atom: 0.00
DOS at the Fermi energy in states/eV per cell: 6.26
DFT formation energy in eV/atom: -0.4921

---

No. 19
Computed, not measured: a geometry-optimized Zr2Pa2Co3 structure at the PBE level of DFT.

Cell lengths 3.577, 5.637, 7.196 Å; angles 90.64, 75.61, 71.50 degrees
Fractional coordinates of all 7 atoms:
Zr  0.285  0.807  0.622
Pa  0.576  0.720  0.129
Zr  0.715  0.193  0.378
Pa  0.424  0.280  0.871
Co  0.014  0.617  0.355
Co  0.000  0.000  0.000
Co  0.986  0.383  0.645

Summary:
Raw total energy in eV/atom: -8.484
Magnetization in μB per atom: 0.00
DOS at the Fermi energy in states/eV per cell: 7.56
DFT formation energy in eV/atom: -0.2828

---

No. 20
Computed, not measured: a geometry-optimized TcBiRh2N structure at the PBE level of DFT.

Cell lengths 4.996, 5.235, 4.996 Å; angles 90.00, 90.00, 90.00 degrees
Each line ends with the local moment (μB).
Fractional coordinates of all 5 atoms:
Bi  0.000  0.000  0.000  -0.11
Rh  0.500  0.000  0.000  0.60
Tc  0.000  0.500  0.000  2.86
Rh  0.000  0.000  0.500  0.52
N  0.500  0.500  0.500  -0.01

Summary:
Raw total energy in eV/atom: -4.613
Magnetization in μB per atom: 0.86
DOS at the Fermi energy in states/eV per cell: 10.26